Record 1
A plane-wave DFT calculation with PBE was carried out for a relaxed structure of PdPb3S.

Summary:
The value obtained for the raw formation energy is 128 meV per atom. As for the relative energy among the computed polymorphs: 0.000 eV/f.u.

Unit cell a=5.331 b=5.331 c=5.331 alpha=90.00 beta=90.00 gamma=90.00
Atoms (fractional coordinates):
Pd: 0.000 0.000 0.000
Pb: 0.000 0.000 0.500
Pb: 0.000 0.500 0.000
Pb: 0.500 0.000 0.000
S: 0.500 0.500 0.500


Record 2
A plane-wave DFT calculation with PBE was carried out for a relaxed structure of CaMg8.

Summary:
Its formation energy is -0.02 eV per atom.

Unit cell a=7.371 b=7.371 c=7.371 alpha=95.39 beta=95.39 gamma=144.30
Atoms (fractional coordinates):
Ca: 0.000 0.000 0.000
Mg: 0.000 0.339 0.339
Mg: 0.000 0.661 0.661
Mg: 0.326 0.326 0.651
Mg: 0.326 0.674 0.000
Mg: 0.339 0.000 0.339
Mg: 0.661 0.000 0.661
Mg: 0.674 0.326 0.000
Mg: 0.674 0.674 0.349


Record 3
A plane-wave DFT calculation with PBE was carried out for a relaxed structure of Fe2BCl.

Summary:
The value obtained for the raw formation energy is 549 meV per atom. As for the relative energy among the computed polymorphs: 0.000 eV/f.u.

Unit cell a=5.758 b=5.758 c=5.758 alpha=132.00 beta=132.00 gamma=70.22
Atoms (fractional coordinates):
Fe: 0.079 0.625 0.954
Fe: 0.375 0.329 0.454
Fe: 0.671 0.125 0.046
Fe: 0.875 0.921 0.546
B: 0.000 0.000 0.000
B: 0.750 0.250 0.500
Cl: 0.250 0.750 0.500
Cl: 0.500 0.500 0.000


Record 4
A plane-wave DFT calculation with PBE was carried out for a relaxed structure of Dy12Y7Ho.

Summary:
Its formation energy is 0.30 eV per atom. As for the relative energy among the computed polymorphs: 0.000 eV/f.u.

Unit cell a=8.688 b=8.688 c=8.688 alpha=94.97 beta=94.97 gamma=94.97
Atoms (fractional coordinates):
Dy: 0.146 0.413 0.477
Dy: 0.189 0.749 0.319
Dy: 0.251 0.681 0.811
Dy: 0.319 0.189 0.749
Dy: 0.413 0.477 0.146
Dy: 0.477 0.146 0.413
Dy: 0.523 0.854 0.587
Dy: 0.587 0.523 0.854
Dy: 0.681 0.811 0.251
Dy: 0.749 0.319 0.189
Dy: 0.811 0.251 0.681
Dy: 0.854 0.587 0.523
Y: 0.016 0.081 0.350
Y: 0.081 0.350 0.016
Y: 0.350 0.016 0.081
Y: 0.500 0.500 0.500
Y: 0.650 0.984 0.919
Y: 0.919 0.650 0.984
Y: 0.984 0.919 0.650
Ho: 0.000 0.000 0.000


Record 5
A plane-wave DFT calculation with PBE was carried out for a relaxed structure of LiAg2As.

Summary:
Its formation energy is -0.19 eV per atom.

Unit cell a=4.870 b=4.870 c=4.870 alpha=128.61 beta=128.61 gamma=75.64
Atoms (fractional coordinates):
Li: 0.000 0.000 0.000
Ag: 0.250 0.750 0.500
Ag: 0.750 0.250 0.500
As: 0.500 0.500 0.000


Record 6
A plane-wave DFT calculation with PBE was carried out for a relaxed structure of Pm5Zn2Si5.

Summary:
The value obtained for the raw formation energy is -587 meV per atom.

Unit cell a=7.724 b=7.724 c=11.357 alpha=127.83 beta=127.83 gamma=31.29
Atoms (fractional coordinates):
Pm: 0.000 0.000 0.000
Pm: 0.316 0.316 0.418
Pm: 0.371 0.371 0.177
Pm: 0.629 0.629 0.823
Pm: 0.684 0.684 0.582
Zn: 0.386 0.386 0.740
Zn: 0.614 0.614 0.260
Si: 0.000 0.000 0.500
Si: 0.068 0.068 0.329
Si: 0.299 0.299 0.863
Si: 0.701 0.701 0.137
Si: 0.932 0.932 0.671


Record 7
A plane-wave DFT calculation with PBE was carried out for a relaxed structure of La6Pr2Ho3Mg.

Summary:
Its formation energy is 0.01 eV per atom.

Unit cell a=6.326 b=6.326 c=11.990 alpha=95.05 beta=95.05 gamma=120.01
Atoms (fractional coordinates):
La: 0.084 0.414 0.754
La: 0.246 0.246 0.246
La: 0.414 0.084 0.754
La: 0.586 0.916 0.246
La: 0.754 0.754 0.754
La: 0.916 0.586 0.246
Pr: 0.333 0.667 0.500
Pr: 0.667 0.333 0.500
Ho: 0.166 0.834 0.000
Ho: 0.500 0.500 0.000
Ho: 0.834 0.166 0.000
Mg: 0.000 0.000 0.500


Record 8
A plane-wave DFT calculation with PBE was carried out for a relaxed structure of La2Hg4Pb.

Summary:
Its formation energy is -0.42 eV per atom. As for the relative energy among the computed polymorphs: 0.000 eV/f.u.

Unit cell a=8.526 b=8.526 c=8.526 alpha=36.73 beta=36.73 gamma=36.73
Atoms (fractional coordinates):
La: 0.229 0.229 0.229
La: 0.771 0.771 0.771
Hg: 0.067 0.067 0.067
Hg: 0.365 0.365 0.365
Hg: 0.635 0.635 0.635
Hg: 0.933 0.933 0.933
Pb: 0.500 0.500 0.500


Record 9
A plane-wave DFT calculation with PBE was carried out for a relaxed structure of V3MoH2.

Unit cell a=7.272 b=7.272 c=6.894 alpha=98.26 beta=98.26 gamma=20.37
Atoms (fractional coordinates):
V: 0.036 0.036 0.192
V: 0.283 0.283 0.698
V: 0.413 0.413 0.438
V: 0.587 0.587 0.562
V: 0.717 0.717 0.302
V: 0.964 0.964 0.808
Mo: 0.345 0.345 0.051
Mo: 0.655 0.655 0.949
H: 0.089 0.089 0.758
H: 0.287 0.287 0.434
H: 0.713 0.713 0.566
H: 0.911 0.911 0.242


Record 10
A plane-wave DFT calculation with PBE was carried out for a relaxed structure of Cr2SbOs.

Summary:
The value obtained for the raw formation energy is 332 meV per atom.

Unit cell a=2.976 b=4.374 c=4.646 alpha=90.00 beta=90.00 gamma=90.00
Atoms (fractional coordinates):
Cr: 0.000 0.000 0.000
Cr: 0.000 0.500 0.289
Sb: 0.500 0.000 0.483
Os: 0.500 0.500 0.825


Record 11
A plane-wave DFT calculation with PBE was carried out for a relaxed structure of PaInFeRu.

Summary:
Its formation energy is -0.15 eV per atom.

Unit cell a=4.661 b=4.661 c=4.661 alpha=60.00 beta=60.00 gamma=60.00
Atoms (fractional coordinates):
Pa: 0.000 0.000 0.000
In: 0.500 0.500 0.500
Fe: 0.250 0.250 0.250
Ru: 0.750 0.750 0.750


Record 12
A plane-wave DFT calculation with PBE was carried out for a relaxed structure of InRu4Br.

Summary:
The value obtained for the raw formation energy is 895 meV per atom.

Unit cell a=5.290 b=5.290 c=5.290 alpha=60.00 beta=60.00 gamma=60.00
Atoms (fractional coordinates):
In: 0.000 0.000 0.000
Ru: 0.127 0.624 0.624
Ru: 0.624 0.127 0.624
Ru: 0.624 0.624 0.127
Ru: 0.624 0.624 0.624
Br: 0.250 0.250 0.250


Record 13
A plane-wave DFT calculation with PBE was carried out for a relaxed structure of LiRe2B2.

Summary:
Its formation energy is -0.27 eV per atom.

Unit cell a=5.740 b=5.740 c=3.033 alpha=90.00 beta=90.00 gamma=90.00
Atoms (fractional coordinates):
Li: 0.000 0.000 0.000
Li: 0.500 0.500 0.000
Re: 0.173 0.327 0.500
Re: 0.327 0.827 0.500
Re: 0.673 0.173 0.500
Re: 0.827 0.673 0.500
B: 0.119 0.619 0.000
B: 0.381 0.119 0.000
B: 0.619 0.881 0.000
B: 0.881 0.381 0.000


Record 14
A plane-wave DFT calculation with PBE was carried out for a relaxed structure of Tb5ZrTl6.

Summary:
Its formation energy is -0.28 eV per atom.

Unit cell a=9.242 b=9.242 c=5.350 alpha=106.76 beta=106.76 gamma=120.51
Atoms (fractional coordinates):
Tb: 0.000 0.000 0.000
Tb: 0.167 0.833 0.500
Tb: 0.334 0.666 0.000
Tb: 0.666 0.334 0.000
Tb: 0.833 0.167 0.500
Zr: 0.500 0.500 0.500
Tl: 0.090 0.418 0.254
Tl: 0.257 0.257 0.757
Tl: 0.418 0.090 0.254
Tl: 0.582 0.910 0.746
Tl: 0.743 0.743 0.243
Tl: 0.910 0.582 0.746


Record 15
A plane-wave DFT calculation with PBE was carried out for a relaxed structure of Y2MnAu.

Summary:
Its formation energy is -0.14 eV per atom. As for the relative energy among the computed polymorphs: 0.744 eV/f.u.

Unit cell a=3.790 b=4.065 c=6.301 alpha=90.00 beta=90.00 gamma=90.00
Atoms (fractional coordinates):
Y: 0.000 0.000 0.000
Y: 0.500 0.500 0.356
Mn: 0.500 0.500 0.836
Au: 0.000 0.000 0.531


Record 16
A plane-wave DFT calculation with PBE was carried out for a relaxed structure of ZnCdSi.

Summary:
The value obtained for the raw formation energy is 309 meV per atom.

Unit cell a=5.534 b=5.534 c=5.534 alpha=150.68 beta=138.28 gamma=51.81
Atoms (fractional coordinates):
Zn: 0.000 0.000 0.000
Cd: 0.683 0.683 0.000
Si: 0.372 0.372 0.000


Record 17
A plane-wave DFT calculation with PBE was carried out for a relaxed structure of BaTa2TeF.

Summary:
The value obtained for the raw formation energy is 2405 meV per atom.

Unit cell a=5.381 b=5.381 c=6.098 alpha=90.00 beta=90.00 gamma=90.00
Atoms (fractional coordinates):
Ba: 0.000 0.000 0.000
Ta: 0.000 0.500 0.000
Ta: 0.500 0.000 0.000
Te: 0.000 0.000 0.500
F: 0.500 0.500 0.500


Record 18
A plane-wave DFT calculation with PBE was carried out for a relaxed structure of NaLiNb2V.

Summary:
Its formation energy is 0.97 eV per atom. As for the relative energy among the computed polymorphs: 0.000 eV/f.u.

Unit cell a=4.592 b=4.592 c=5.387 alpha=90.00 beta=90.00 gamma=90.00
Atoms (fractional coordinates):
Na: 0.000 0.000 0.000
Li: 0.500 0.500 0.000
Nb: 0.000 0.500 0.500
Nb: 0.500 0.000 0.500
V: 0.500 0.500 0.500


Record 19
A plane-wave DFT calculation with PBE was carried out for a relaxed structure of Mg2TaCu.

Summary:
Its formation energy is 0.25 eV per atom. As for the relative energy among the computed polymorphs: 0.642 eV/f.u.

Unit cell a=2.862 b=3.978 c=6.202 alpha=90.00 beta=90.00 gamma=90.00
Atoms (fractional coordinates):
Mg: 0.000 0.000 0.000
Mg: 0.500 0.500 0.273
Ta: 0.000 0.000 0.538
Cu: 0.500 0.500 0.748


Record 20
A plane-wave DFT calculation with PBE was carried out for a relaxed structure of Nd8As3PSe4.

Summary:
The value obtained for the raw formation energy is -1744 meV per atom.

Unit cell a=8.519 b=8.519 c=8.519 alpha=59.56 beta=59.56 gamma=59.56
Atoms (fractional coordinates):
Nd: 0.246 0.246 0.246
Nd: 0.250 0.743 0.743
Nd: 0.257 0.257 0.750
Nd: 0.257 0.750 0.257
Nd: 0.743 0.250 0.743
Nd: 0.743 0.743 0.250
Nd: 0.750 0.257 0.257
Nd: 0.754 0.754 0.754
As: 0.000 0.000 0.500
As: 0.000 0.500 0.000
As: 0.500 0.000 0.000
P: 0.500 0.500 0.500
Se: 0.000 0.000 0.000
Se: 0.000 0.500 0.500
Se: 0.500 0.000 0.500
Se: 0.500 0.500 0.000


Number 1: electronic total energy -19.81 eV for the cell shown. Number 2: electronic total energy -14.96 eV for the cell shown. Number 3: electronic total energy -46.50 eV for the cell shown. Number 4: electronic total energy -99.01 eV for the cell shown. Number 5: electronic total energy -13.03 eV for the cell shown. Number 6: electronic total energy -60.47 eV for the cell shown. Number 7: electronic total energy -54.36 eV for the cell shown. Number 8: electronic total energy -17.71 eV for the cell shown. Number 9: electronic total energy -89.25 eV for the cell shown. Number 10: electronic total energy -33.27 eV for the cell shown. Number 11: electronic total energy -30.58 eV for the cell shown. Number 12: electronic total energy -36.15 eV for the cell shown. Number 13: electronic total energy -83.03 eV for the cell shown. Number 14: electronic total energy -49.20 eV for the cell shown. Number 15: electronic total energy -25.94 eV for the cell shown. Number 16: electronic total energy -6.69 eV for the cell shown. Number 17: electronic total energy -18.62 eV for the cell shown. Number 18: electronic total energy -27.66 eV for the cell shown. Number 19: electronic total energy -18.13 eV for the cell shown. Number 20: electronic total energy -99.35 eV for the cell shown.